No. 1
Below is a relaxed ZrTlTe2 crystal, with properties calculated at the PBE level.

The total DFT energy (no corrections) is -4.393 eV per atom. Its formation energy without anion corrections is -0.093 eV per atom. For the density of states at the Fermi level, the calculation gives 3.4 states/eV/f.u.

The space group is I-4m2 (No. 119) and the conventional cell measures 4.4598, 4.4598 and 10.8129 Å, with angles of 90.00, 90.00 and 90.00 degrees. The inequivalent atoms are Zr at (0.0000, 0.0000, 0.0000), Tl at (0.0000, 0.5000, 0.2500), Te at (0.0000, 0.0000, 0.5000) and Te at (0.0000, 0.5000, 0.7500).



No. 2
Below is a relaxed ZrTl2Te crystal, with properties calculated at the PBE level.

The total DFT energy (no corrections) is -3.985 eV per atom. Its formation energy without anion corrections is 0.120 eV per atom. For the density of states at the Fermi level, the calculation gives 4.7 states/eV/f.u.

The space group is F-43m (No. 216) and the conventional cell measures 7.5259, 7.5259 and 7.5259 Å, with angles of 90.00, 90.00 and 90.00 degrees. The inequivalent atoms are Zr at (0.0000, 0.0000, 0.0000), Tl at (0.0000, 0.0000, 0.5000), Tl at (0.2500, 0.2500, 0.7500) and Te at (0.2500, 0.2500, 0.2500).



No. 3
Below is a relaxed Zr3TlTe crystal, with properties calculated at the PBE level.

The total DFT energy (no corrections) is -6.319 eV per atom. Its formation energy without anion corrections is -0.089 eV per atom. For the density of states at the Fermi level, the calculation gives 5.5 states/eV/f.u.

The space group is C2/m (No. 12) and the conventional cell measures 11.9386, 5.3815 and 8.0149 Å, with angles of 90.00, 92.28 and 90.00 degrees. The inequivalent atoms are Zr at (0.0343, 0.0000, 0.2869), Zr at (0.1669, 0.0000, 0.9630), Zr at (0.1686, 0.5000, 0.7236), Tl at (0.0881, 0.5000, 0.1461) and Te at (0.1822, 0.0000, 0.5795).



No. 4
Below is a relaxed ZrTlTe crystal, with properties calculated at the PBE level.

The total DFT energy (no corrections) is -4.520 eV per atom. Its formation energy without anion corrections is 0.165 eV per atom. For the density of states at the Fermi level, the calculation gives 3.3 states/eV/f.u.

The space group is F-43m (No. 216) and the conventional cell measures 7.0921, 7.0921 and 7.0921 Å, with angles of 90.00, 90.00 and 90.00 degrees. The inequivalent atoms are Zr at (0.0000, 0.0000, 0.0000), Tl at (0.0000, 0.0000, 0.5000) and Te at (0.2500, 0.2500, 0.7500).



No. 5
Below is a relaxed ZrTlTe2 crystal, with properties calculated at the PBE level.

The total DFT energy (no corrections) is -4.933 eV per atom. Its formation energy without anion corrections is -0.633 eV per atom. For the density of states at the Fermi level, the calculation gives 3.4 states/eV/f.u.

The space group is P3m1 (No. 156) and the conventional cell measures 3.9241, 3.9241 and 9.8962 Å, with angles of 90.00, 90.00 and 120.00 degrees. The inequivalent atoms are Zr at (0.0000, 0.0000, 0.0000), Tl at (0.3333, 0.6667, 0.4769), Te at (0.3333, 0.6667, 0.8160) and Te at (0.6667, 0.3333, 0.1869).



No. 6
Below is a relaxed ZrTl2Te crystal, with properties calculated at the PBE level.

The total DFT energy (no corrections) is -4.086 eV per atom. Its formation energy without anion corrections is 0.019 eV per atom. For the density of states at the Fermi level, the calculation gives 3.5 states/eV/f.u.

The space group is I-4m2 (No. 119) and the conventional cell measures 4.6527, 4.6527 and 9.6374 Å, with angles of 90.00, 90.00 and 90.00 degrees. The inequivalent atoms are Zr at (0.0000, 0.0000, 0.0000), Tl at (0.0000, 0.0000, 0.5000), Tl at (0.0000, 0.5000, 0.2500) and Te at (0.0000, 0.5000, 0.7500).



No. 7
Below is a relaxed ZrTlTe2 crystal, with properties calculated at the PBE level.

The total DFT energy (no corrections) is -4.738 eV per atom. Its formation energy without anion corrections is -0.439 eV per atom. For the density of states at the Fermi level, the calculation gives 2.8 states/eV/f.u.

The space group is Pnma (No. 62) and the conventional cell measures 8.4173, 3.7947 and 14.5052 Å, with angles of 90.00, 90.00 and 90.00 degrees. The inequivalent atoms are Zr at (0.0676, 0.2500, 0.1560), Tl at (0.0332, 0.7500, 0.4094), Te at (0.1639, 0.7500, 0.0135) and Te at (0.1938, 0.2500, 0.7619).



No. 8
Below is a relaxed ZrTlTe2 crystal, with properties calculated at the PBE level.

The total DFT energy (no corrections) is -4.857 eV per atom. Its formation energy without anion corrections is -0.557 eV per atom. For the density of states at the Fermi level, the calculation gives 1.5 states/eV/f.u.

The space group is C2/c (No. 15) and the conventional cell measures 10.6603, 10.3715 and 19.1660 Å, with angles of 90.00, 105.34 and 90.00 degrees. The inequivalent atoms are Zr at (0.0452, 0.1238, 0.3341), Zr at (0.2139, 0.3733, 0.1789), Tl at (0.0788, 0.3754, 0.9093), Tl at (0.1705, 0.1292, 0.5943), Te at (0.0000, 0.1248, 0.7500), Te at (0.0000, 0.3706, 0.2500), Te at (0.0108, 0.3074, 0.4433), Te at (0.1858, 0.0550, 0.9445) and Te at (0.2329, 0.1190, 0.2443).



No. 9
Below is a relaxed ZrTl2Te crystal, with properties calculated at the PBE level.

The total DFT energy (no corrections) is -3.890 eV per atom. Its formation energy without anion corrections is 0.215 eV per atom. For the density of states at the Fermi level, the calculation gives 4.1 states/eV/f.u.

The space group is P4/mmm (No. 123) and the conventional cell measures 3.2551, 3.2551 and 10.2725 Å, with angles of 90.00, 90.00 and 90.00 degrees. The inequivalent atoms are Zr at (0.0000, 0.0000, 0.0000), Tl at (0.5000, 0.5000, 0.2143) and Te at (0.0000, 0.0000, 0.5000).



No. 10
Below is a relaxed ZrTlTe2 crystal, with properties calculated at the PBE level.

The total DFT energy (no corrections) is -4.957 eV per atom. Its formation energy without anion corrections is -0.658 eV per atom. For the density of states at the Fermi level, the calculation gives 2.0 states/eV/f.u.

The space group is P-6m2 (No. 187) and the conventional cell measures 4.0020, 4.0020 and 8.7900 Å, with angles of 90.00, 90.00 and 120.00 degrees. The inequivalent atoms are Zr at (0.0000, 0.0000, 0.0000), Tl at (0.3333, 0.6667, 0.5000) and Te at (0.6667, 0.3333, 0.2090).



No. 11
Below is a relaxed ZrTlTe2 crystal, with properties calculated at the PBE level.

The total DFT energy (no corrections) is -4.130 eV per atom. Its formation energy without anion corrections is 0.169 eV per atom. For the density of states at the Fermi level, the calculation gives 4.1 states/eV/f.u.

The space group is F-43m (No. 216) and the conventional cell measures 7.5557, 7.5557 and 7.5557 Å, with angles of 90.00, 90.00 and 90.00 degrees. The inequivalent atoms are Zr at (0.0000, 0.0000, 0.0000), Tl at (0.2500, 0.2500, 0.7500), Te at (0.0000, 0.0000, 0.5000) and Te at (0.2500, 0.2500, 0.2500).



No. 12
Below is a relaxed ZrTlTe crystal, with properties calculated at the PBE level.

The total DFT energy (no corrections) is -4.817 eV per atom. Its formation energy without anion corrections is -0.131 eV per atom. For the density of states at the Fermi level, the calculation gives 2.5 states/eV/f.u.

The space group is P-6m2 (No. 187) and the conventional cell measures 4.9410, 4.9410 and 3.8999 Å, with angles of 90.00, 90.00 and 120.00 degrees. The inequivalent atoms are Zr at (0.0000, 0.0000, 0.0000), Tl at (0.3333, 0.6667, 0.5000) and Te at (0.6667, 0.3333, 0.0000).